## i
Entry from Alexandria: an optimized crystal structure of VAs2OsBr (PBE).

As for the density of states at the Fermi level: 1.066 states/eV per atom. The space-group type is No. 123.

a b c (Å): 4.697 4.697 5.479
angles (deg): 90.00 90.00 90.00
Positions (direct):
V1 0.000 0.000 0.000
As1 0.000 0.500 0.500
As2 0.500 0.000 0.500
Os1 0.500 0.500 0.500
Br1 0.500 0.500 0.000

## ii
Entry from Alexandria: an optimized crystal structure of VAs2OsBr (PBE).

As for the density of states at the Fermi level: 1.107 states/eV per atom. The space-group type is No. 123.

a b c (Å): 4.775 4.775 4.825
angles (deg): 90.00 90.00 90.00
Positions (direct):
V1 0.000 0.000 0.000
As1 0.000 0.500 0.000
As2 0.500 0.000 0.000
Os1 0.500 0.500 0.500
Br1 0.000 0.000 0.500

Which structure is the least stable? The one labeled ii.

## i
Entry from Alexandria: an optimized crystal structure of YAsOsBr2 (PBE).

As for the density of states at the Fermi level: 1.557 states/eV per atom. The space-group type is No. 123.

a b c (Å): 5.362 5.362 5.843
angles (deg): 90.00 90.00 90.00
Positions (direct):
Y1 0.000 0.000 0.000
As1 0.000 0.000 0.500
Os1 0.500 0.500 0.500
Br1 0.000 0.500 0.000
Br2 0.500 0.000 0.000

## ii
Entry from Alexandria: an optimized crystal structure of YAsOsBr2 (PBE).

As for the density of states at the Fermi level: 0.831 states/eV per atom. The space-group type is No. 123.

a b c (Å): 5.111 5.111 4.773
angles (deg): 90.00 90.00 90.00
Positions (direct):
Y1 0.000 0.000 0.000
As1 0.500 0.500 0.000
Os1 0.500 0.500 0.500
Br1 0.000 0.500 0.500
Br2 0.500 0.000 0.500

Which structure is the least stable? The one labeled i.

## i
Entry from Alexandria: an optimized crystal structure of YAs2OsBr (PBE).

As for the density of states at the Fermi level: 1.469 states/eV per atom. The space-group type is No. 123.

a b c (Å): 5.502 5.502 5.275
angles (deg): 90.00 90.00 90.00
Positions (direct):
Y1 0.000 0.000 0.000
As1 0.000 0.500 0.000
As2 0.500 0.000 0.000
Os1 0.500 0.500 0.500
Br1 0.000 0.000 0.500

## ii
Entry from Alexandria: an optimized crystal structure of YAs2OsBr (PBE).

As for the density of states at the Fermi level: 0.772 states/eV per atom. The space-group type is No. 123.

a b c (Å): 4.787 4.787 5.212
angles (deg): 90.00 90.00 90.00
Positions (direct):
Y1 0.000 0.000 0.000
As1 0.000 0.500 0.500
As2 0.500 0.000 0.500
Os1 0.500 0.500 0.500
Br1 0.500 0.500 0.000

Which structure is the least stable? The one labeled i.

## i
Entry from Alexandria: an optimized crystal structure of ZrAsOsBr2 (PBE).

As for the density of states at the Fermi level: 1.162 states/eV per atom. The space-group type is No. 123.

a b c (Å): 5.130 5.130 4.702
angles (deg): 90.00 90.00 90.00
Positions (direct):
Zr1 0.000 0.000 0.000
As1 0.500 0.500 0.000
Os1 0.500 0.500 0.500
Br1 0.000 0.500 0.500
Br2 0.500 0.000 0.500

## ii
Entry from Alexandria: an optimized crystal structure of ZrAsOsBr2 (PBE).

As for the density of states at the Fermi level: 1.171 states/eV per atom. The space-group type is No. 123.

a b c (Å): 5.189 5.189 5.428
angles (deg): 90.00 90.00 90.00
Positions (direct):
Zr1 0.000 0.000 0.000
As1 0.000 0.000 0.500
Os1 0.500 0.500 0.500
Br1 0.000 0.500 0.000
Br2 0.500 0.000 0.000

## iii
Entry from Alexandria: an optimized crystal structure of ZrAsOsBr2 (PBE).

As for the density of states at the Fermi level: 1.113 states/eV per atom. The space-group type is No. 123.

a b c (Å): 5.161 5.161 4.690
angles (deg): 90.00 90.00 90.00
Positions (direct):
Zr1 0.000 0.000 0.000
As1 0.500 0.500 0.500
Os1 0.500 0.500 0.000
Br1 0.000 0.500 0.500
Br2 0.500 0.000 0.500

Which structure is the least stable? The one labeled iii.

## i
Entry from Alexandria: an optimized crystal structure of As2P2Br (PBE).

As for the density of states at the Fermi level: 0.337 states/eV per atom. The space-group type is No. 139.

a b c (Å): 6.450 6.450 6.450
angles (deg): 140.08 140.08 57.72
Positions (direct):
As1 0.250 0.750 0.500
As2 0.750 0.250 0.500
P1 0.144 0.144 0.000
P2 0.856 0.856 0.000
Br1 0.500 0.500 0.000

## ii
Entry from Alexandria: an optimized crystal structure of As2P2Br (PBE).

As for the density of states at the Fermi level: 0.275 states/eV per atom. The space-group type is No. 139.

a b c (Å): 6.823 6.823 6.823
angles (deg): 143.59 143.59 52.45
Positions (direct):
As1 0.142 0.142 0.000
As2 0.858 0.858 0.000
P1 0.250 0.750 0.500
P2 0.750 0.250 0.500
Br1 0.500 0.500 0.000

Which structure is the least stable? The one labeled i.

## i
Entry from Alexandria: an optimized crystal structure of AsPPbBr2 (PBE).

As for the density of states at the Fermi level: 0.744 states/eV per atom. The space-group type is No. 123.

a b c (Å): 5.719 5.719 5.820
angles (deg): 90.00 90.00 90.00
Positions (direct):
As1 0.000 0.000 0.000
P1 0.500 0.500 0.000
Pb1 0.000 0.000 0.500
Br1 0.000 0.500 0.500
Br2 0.500 0.000 0.500

## ii
Entry from Alexandria: an optimized crystal structure of AsPPbBr2 (PBE).

As for the density of states at the Fermi level: 0.616 states/eV per atom. The space-group type is No. 123.

a b c (Å): 5.064 5.064 5.145
angles (deg): 90.00 90.00 90.00
Positions (direct):
As1 0.000 0.000 0.000
P1 0.000 0.000 0.500
Pb1 0.500 0.500 0.000
Br1 0.000 0.500 0.500
Br2 0.500 0.000 0.500

Which structure is the least stable? The one labeled i.

## i
Entry from Alexandria: an optimized crystal structure of As2PPbBr (PBE).

As for the density of states at the Fermi level: 0.839 states/eV per atom. The space-group type is No. 123.

a b c (Å): 4.827 4.827 5.357
angles (deg): 90.00 90.00 90.00
Positions (direct):
As1 0.000 0.500 0.000
As2 0.500 0.000 0.000
P1 0.000 0.000 0.000
Pb1 0.500 0.500 0.500
Br1 0.000 0.000 0.500

## ii
Entry from Alexandria: an optimized crystal structure of As2PPbBr (PBE).

As for the density of states at the Fermi level: 0.401 states/eV per atom. The space-group type is No. 123.

a b c (Å): 5.612 5.612 5.619
angles (deg): 90.00 90.00 90.00
Positions (direct):
As1 0.000 0.500 0.000
As2 0.500 0.000 0.000
P1 0.000 0.000 0.500
Pb1 0.500 0.500 0.000
Br1 0.500 0.500 0.500

Which structure is the least stable? The one labeled ii.

## i
Entry from Alexandria: an optimized crystal structure of AsPPdBr2 (PBE).

As for the density of states at the Fermi level: 0.827 states/eV per atom. The space-group type is No. 123.

a b c (Å): 5.047 5.047 4.843
angles (deg): 90.00 90.00 90.00
Positions (direct):
As1 0.000 0.000 0.000
P1 0.000 0.000 0.500
Pd1 0.500 0.500 0.000
Br1 0.000 0.500 0.500
Br2 0.500 0.000 0.500

## ii
Entry from Alexandria: an optimized crystal structure of AsPPdBr2 (PBE).

As for the density of states at the Fermi level: 0.816 states/eV per atom. The space-group type is No. 123.

a b c (Å): 5.061 5.061 4.998
angles (deg): 90.00 90.00 90.00
Positions (direct):
As1 0.000 0.000 0.000
P1 0.500 0.500 0.000
Pd1 0.000 0.000 0.500
Br1 0.000 0.500 0.500
Br2 0.500 0.000 0.500

Which structure is the least stable? The one labeled ii.

## i
Entry from Alexandria: an optimized crystal structure of RbAsPBr2 (PBE).

As for the density of states at the Fermi level: 2.943 states/eV per atom. The space-group type is No. 123.

a b c (Å): 6.619 6.619 7.708
angles (deg): 90.00 90.00 90.00
Positions (direct):
Rb1 0.000 0.000 0.000
As1 0.000 0.000 0.500
P1 0.500 0.500 0.500
Br1 0.000 0.500 0.000
Br2 0.500 0.000 0.000

## ii
Entry from Alexandria: an optimized crystal structure of RbAsPBr2 (PBE).

As for the density of states at the Fermi level: 0.657 states/eV per atom. The space-group type is No. 123.

a b c (Å): 5.764 5.764 4.626
angles (deg): 90.00 90.00 90.00
Positions (direct):
Rb1 0.000 0.000 0.000
As1 0.500 0.500 0.000
P1 0.500 0.500 0.500
Br1 0.000 0.500 0.500
Br2 0.500 0.000 0.500

Which structure is the least stable? The one labeled i.

## i
Entry from Alexandria: an optimized crystal structure of ReAs2PBr (PBE).

As for the density of states at the Fermi level: 0.488 states/eV per atom. The space-group type is No. 123.

a b c (Å): 4.811 4.811 4.761
angles (deg): 90.00 90.00 90.00
Positions (direct):
Re1 0.000 0.000 0.000
As1 0.000 0.500 0.500
As2 0.500 0.000 0.500
P1 0.500 0.500 0.500
Br1 0.500 0.500 0.000

## ii
Entry from Alexandria: an optimized crystal structure of ReAs2PBr (PBE).

As for the density of states at the Fermi level: 0.896 states/eV per atom. The space-group type is No. 123.

a b c (Å): 4.752 4.752 5.348
angles (deg): 90.00 90.00 90.00
Positions (direct):
Re1 0.000 0.000 0.000
As1 0.000 0.500 0.000
As2 0.500 0.000 0.000
P1 0.500 0.500 0.500
Br1 0.000 0.000 0.500

Which structure is the least stable? The one labeled i.

## i
Entry from Alexandria: an optimized crystal structure of SbAs2PBr (PBE).

As for the density of states at the Fermi level: 0.439 states/eV per atom. The space-group type is No. 123.

a b c (Å): 5.433 5.433 5.416
angles (deg): 90.00 90.00 90.00
Positions (direct):
Sb1 0.000 0.000 0.000
As1 0.000 0.500 0.000
As2 0.500 0.000 0.000
P1 0.500 0.500 0.500
Br1 0.000 0.000 0.500

## ii
Entry from Alexandria: an optimized crystal structure of SbAs2PBr (PBE).

As for the density of states at the Fermi level: 0.616 states/eV per atom. The space-group type is No. 123.

a b c (Å): 4.943 4.943 4.848
angles (deg): 90.00 90.00 90.00
Positions (direct):
Sb1 0.000 0.000 0.000
As1 0.000 0.500 0.500
As2 0.500 0.000 0.500
P1 0.500 0.500 0.500
Br1 0.500 0.500 0.000

Which structure is the least stable? The one labeled i.

## i
Entry from Alexandria: an optimized crystal structure of As2PSeBr (PBE).

As for the density of states at the Fermi level: 1.180 states/eV per atom. The space-group type is No. 123.

a b c (Å): 5.146 5.146 4.919
angles (deg): 90.00 90.00 90.00
Positions (direct):
As1 0.000 0.500 0.000
As2 0.500 0.000 0.000
P1 0.000 0.000 0.500
Se1 0.500 0.500 0.500
Br1 0.500 0.500 0.000

## ii
Entry from Alexandria: an optimized crystal structure of As2PSeBr (PBE).

As for the density of states at the Fermi level: 0.961 states/eV per atom. The space-group type is No. 123.

a b c (Å): 4.951 4.951 4.787
angles (deg): 90.00 90.00 90.00
Positions (direct):
As1 0.000 0.500 0.000
As2 0.500 0.000 0.000
P1 0.000 0.000 0.000
Se1 0.500 0.500 0.500
Br1 0.000 0.000 0.500

Which structure is the least stable? The one labeled i.